Below is crystalline Tb2GaP at its relaxed geometry, with properties calculated at the PBE level.

```
Tb2GaP
1.0
-1.602 -1.755 -3.352
3.719 -0.870 -1.322
-2.272 -9.660 6.143
Tb Ga P
4 2 2
Direct
0.750 0.689 0.379
0.250 0.311 0.621
0.750 0.930 0.859
0.250 0.070 0.141
0.250 0.464 0.928
0.750 0.536 0.072
0.250 0.189 0.379
0.750 0.811 0.621
```

Properties
raw total energy = -5.54 eV per atom
magnetization = 0.00 μB per formula unit
energy relative to the elements = -1114 meV/atom



Below is crystalline SmP3Ru3 at its relaxed geometry, with properties calculated at the PBE level.

```
SmP3Ru3
1.0
6.686 0.000 0.000
3.343 5.790 0.000
3.343 1.930 6.706
Sm P Ru
2 6 6
Direct
0.333 0.333 0.001
0.667 0.667 0.999
0.223 0.593 0.281
0.903 0.223 0.281
0.593 0.903 0.281
0.407 0.097 0.719
0.097 0.777 0.719
0.777 0.407 0.719
0.469 0.778 0.636
0.778 0.117 0.636
0.117 0.469 0.636
0.883 0.531 0.364
0.222 0.883 0.364
0.531 0.222 0.364
```

Properties
raw total energy = -7.70 eV per atom
magnetization = 0.00 μB per formula unit
energy relative to the elements = -735 meV/atom



Below is crystalline LiTlMoW2 at its relaxed geometry, with properties calculated at the PBE level.

```
LiTlMoW2
1.0
-1.344 -2.604 3.203
4.119 -0.992 0.922
0.180 3.328 2.781
Tl Mo W Li
1 1 2 1
Direct
0.500 0.500 0.500
0.000 0.500 0.000
0.000 0.000 0.500
0.500 0.000 0.000
0.000 0.000 0.000
```

Properties
raw total energy = -6.69 eV per atom
magnetization = 0.00 μB per formula unit
energy relative to the elements = 1517 meV/atom



Below is crystalline LuCdGaAg at its relaxed geometry, with properties calculated at the PBE level.

```
LuCdGaAg
1.0
4.861 0.000 0.000
2.431 4.210 0.000
2.431 1.403 3.969
Lu Ga Ag Cd
1 1 1 1
Direct
0.000 0.000 0.000
0.250 0.250 0.250
0.750 0.750 0.750
0.500 0.500 0.500
```

Properties
raw total energy = -3.12 eV per atom
magnetization = 0.00 μB per formula unit
energy relative to the elements = -293 meV/atom



Below is crystalline Mn2SiTcS at its relaxed geometry, with properties calculated at the PBE level.

```
Mn2SiTcS
1.0
-3.572 2.245 1.516
-1.573 -3.765 1.871
2.207 0.958 3.783
S Mn Si Tc
1 2 1 1
Direct
0.000 0.500 0.000
0.000 0.000 0.500
0.500 0.000 0.000
0.000 0.000 0.000
0.500 0.500 0.500
```

Properties
raw total energy = -6.55 eV per atom
magnetization = 4.10 μB per formula unit



Below is crystalline Pu2ZnF8 at its relaxed geometry, with properties calculated at the PBE level.

```
Pu2ZnF8
1.0
6.034 0.678 0.580
1.177 5.921 1.894
1.177 2.789 5.556
Pu Zn F
2 1 8
Direct
0.371 0.154 0.154
0.629 0.846 0.846
0.000 0.000 0.000
0.731 0.246 0.762
0.269 0.238 0.754
0.614 0.274 0.274
0.386 0.726 0.726
0.731 0.762 0.246
0.269 0.754 0.238
0.063 0.308 0.308
0.937 0.692 0.692
```

Properties
raw total energy = -7.04 eV per atom
magnetization = 10.00 μB per formula unit



Below is crystalline PmSmErZr at its relaxed geometry, with properties calculated at the PBE level.

```
PmSmErZr
1.0
-1.452 5.012 -1.873
-0.040 1.018 -5.449
-4.818 0.677 -2.658
Pm Zr Sm Er
1 1 1 1
Direct
0.000 0.000 0.000
0.750 0.750 0.750
0.250 0.250 0.250
0.500 0.500 0.500
```

Properties
raw total energy = -5.41 eV per atom
magnetization = 2.05 μB per formula unit
energy relative to the elements = 239 meV/atom



Below is crystalline KMnMo3 at its relaxed geometry, with properties calculated at the PBE level.

```
KMnMo3
1.0
-3.989 -1.657 -0.924
1.065 -0.175 -4.283
1.570 -4.091 0.558
Mo Mn K
3 1 1
Direct
0.000 0.500 0.000
0.000 0.000 0.500
0.500 0.000 0.000
0.500 0.500 0.500
0.000 0.000 0.000
```

Properties
raw total energy = -5.20 eV per atom
magnetization = 0.00 μB per formula unit
energy relative to the elements = 3353 meV/atom